Entry from Alexandria via LeMat-Bulk: an optimized crystal structure of TaNbCr (PBE-GGA).

Computed properties:
Energy relative to the lowest polymorph listed for this composition in meV per atom: 69
Formation energy in eV per atom: 0.081
Calculated total energy in eV per atom: -10.43
Crystal system: orthorhombic
Density in Mg/m³: 10.87
DOS(E_F) in states/eV/cell: 9.90
Symmetry: No. 38

Cell lengths 5.1550, 5.1550, 8.5046 Å; angles 90.00, 90.00, 118.25 degrees
Closest atoms and distances in Å follow each position.
Element x y z (fractional)
Nb (0.3331, 0.6670, 0.3000)  5 Cr 2.91-3.15, 7 Ta 3.04-3.12, 3 Nb 3.11-3.21
Nb (0.6647, 0.3353, 0.1782)  5 Ta 2.96-3.10, 7 Cr 2.98-3.13, 4 Nb 3.03-3.21
Nb (0.6647, 0.3353, 0.8218)  5 Ta 2.96-3.10, 7 Cr 2.98-3.13, 4 Nb 3.03-3.21
Nb (0.3331, 0.6670, 0.7000)  5 Cr 2.91-3.15, 7 Ta 3.04-3.12, 3 Nb 3.11-3.21
Ta (0.9949, 0.0051, 0.2343)  4 Cr 2.55-2.66, 2 Ta 2.76
Ta (0.9949, 0.0051, 0.7657)  4 Cr 2.55-2.66, 2 Ta 2.76
Ta (0.3454, 0.1650, 0.5000)  2 Cr 2.54-2.62, 4 Ta 2.59-2.76
Ta (0.8350, 0.6546, 0.5000)  2 Cr 2.54-2.62, 4 Ta 2.59-2.76
Cr (0.8367, 0.1633, 0.5000)  6 Ta 2.54-2.66
Cr (0.6455, 0.8238, 0.0000)  2 Cr 2.42-2.48, 2 Ta 2.55
Cr (0.1762, 0.3545, 0.0000)  2 Cr 2.42-2.48, 2 Ta 2.55
Cr (0.1758, 0.8242, 0.0000)  2 Cr 2.42, 2 Ta 2.56